(1)
Cs3Pu3FeS8: relaxed, PBE.

abc: 8.0463 8.0463 9.4085
angles: 115.76 115.76 59.20
Sites, in units of the cell vectors:
Cs 0.0000 0.0000 0.0000
Cs 0.0000 0.5000 0.0000
Cs 0.5000 0.0000 0.0000
Pu 0.0000 0.5000 0.5000
Pu 0.5000 0.0000 0.5000
Pu 0.5000 0.5000 0.5000
Fe 0.0000 0.0000 0.5000
S 0.2112 0.7447 0.6657
S 0.2201 0.2201 0.6707
S 0.2553 0.7888 0.3343
S 0.2718 0.2718 0.3180
S 0.7282 0.7282 0.6820
S 0.7447 0.2112 0.6657
S 0.7799 0.7799 0.3293
S 0.7888 0.2553 0.3343

Calculated values
ΔE_f (raw), eV per atom: -1.23
Volume, Å³/atom: 30.21


(2)
KPAuCl2: relaxed, PBE.

abc: 5.5701 5.5701 4.6305
angles: 90.00 90.00 90.00
Sites, in units of the cell vectors:
K 0.0000 0.0000 0.0000
P 0.5000 0.5000 0.0000
Au 0.5000 0.5000 0.5000
Cl 0.0000 0.5000 0.5000
Cl 0.5000 0.0000 0.5000

Calculated values
E above lowest polymorph, eV per formula unit: 0.00
ΔE_f (raw), eV per atom: -0.36
Volume, Å³/atom: 28.73


(3)
Na2LaPt6: relaxed, PBE.

abc: 6.5964 6.5964 6.5964
angles: 60.00 60.00 60.00
Sites, in units of the cell vectors:
Na 0.2500 0.2500 0.2500
Na 0.7500 0.7500 0.7500
La 0.0000 0.0000 0.0000
Pt 0.2958 0.2958 0.7042
Pt 0.2958 0.7042 0.2958
Pt 0.2958 0.7042 0.7042
Pt 0.7042 0.2958 0.2958
Pt 0.7042 0.2958 0.7042
Pt 0.7042 0.7042 0.2958

Calculated values
DFT formation energy, meV/atom: 97
Volume, Å³/atom: 22.55


(4)
In3Pb: relaxed, PBE.

abc: 3.5115 3.5115 10.7415
angles: 90.00 90.00 120.00
Sites, in units of the cell vectors:
In 0.0000 0.0000 0.0000
In 0.3333 0.6667 0.2420
In 0.3333 0.6667 0.7580
Pb 0.0000 0.0000 0.5000

Calculated values
DFT formation energy, meV/atom: 27
Volume, Å³/atom: 28.68


(5)
LiPa2Co4Si3: relaxed, PBE.

abc: 3.8426 3.8426 9.8613
angles: 90.00 90.00 90.00
Sites, in units of the cell vectors:
Li 0.0000 0.0000 0.0000
Pa 0.0000 0.5000 0.7526
Pa 0.5000 0.0000 0.2474
Co 0.0000 0.0000 0.5000
Co 0.0000 0.5000 0.1437
Co 0.5000 0.0000 0.8563
Co 0.5000 0.5000 0.5000
Si 0.0000 0.5000 0.3747
Si 0.5000 0.0000 0.6253
Si 0.5000 0.5000 0.0000

Calculated values
ΔE_f (raw), eV per atom: -0.61
Volume, Å³/atom: 14.56


(6)
Dy5Er8Mg: relaxed, PBE.

abc: 8.3359 8.3359 8.3359
angles: 110.49 110.49 107.46
Sites, in units of the cell vectors:
Dy 0.0000 0.0000 0.0000
Dy 0.2111 0.5252 0.8958
Dy 0.4748 0.3706 0.6859
Dy 0.6294 0.3153 0.1042
Dy 0.6847 0.7889 0.3141
Er 0.1573 0.0658 0.7302
Er 0.3356 0.4271 0.2698
Er 0.4179 0.0229 0.2569
Er 0.5729 0.8427 0.9085
Er 0.7660 0.1610 0.7431
Er 0.8390 0.5821 0.6050
Er 0.9342 0.6644 0.0915
Er 0.9771 0.2340 0.3950
Mg 0.2500 0.7500 0.5000

Calculated values
DFT formation energy, meV/atom: 235
Volume, Å³/atom: 31.82


(7)
Sm12SnPd6: relaxed, PBE.

abc: 8.8277 8.8277 8.8277
angles: 109.47 109.47 109.47
Sites, in units of the cell vectors:
Sm 0.1148 0.8159 0.2989
Sm 0.1841 0.2989 0.4830
Sm 0.1841 0.7011 0.8852
Sm 0.2989 0.1148 0.8159
Sm 0.2989 0.4830 0.1841
Sm 0.4830 0.1841 0.2989
Sm 0.5170 0.8159 0.7011
Sm 0.7011 0.5170 0.8159
Sm 0.7011 0.8852 0.1841
Sm 0.8159 0.2989 0.1148
Sm 0.8159 0.7011 0.5170
Sm 0.8852 0.1841 0.7011
Sn 0.0000 0.0000 0.0000
Pd 0.1347 0.6347 0.5000
Pd 0.3653 0.5000 0.8653
Pd 0.5000 0.1347 0.6347
Pd 0.5000 0.8653 0.3653
Pd 0.6347 0.5000 0.1347
Pd 0.8653 0.3653 0.5000

Calculated values
E above lowest polymorph, eV per formula unit: 0.00
DFT formation energy, meV/atom: -597
Volume, Å³/atom: 27.87


(8)
TaP2PbO: relaxed, PBE.

abc: 5.0464 5.0464 4.0185
angles: 90.00 90.00 90.00
Sites, in units of the cell vectors:
Ta 0.0000 0.0000 0.0000
P 0.0000 0.5000 0.5000
P 0.5000 0.0000 0.5000
Pb 0.5000 0.5000 0.5000
O 0.5000 0.5000 0.0000

Calculated values
ΔE_f (raw), eV per atom: 1.17
Volume, Å³/atom: 20.47